Entry from the Alexandria database: ErMgPd4 after structural relaxation (PBE-GGA).

Values from the calculation:
Formation energy from the elements   -0.688 eV per atom

```
data_ErMgPd4
_cell_length_a 9.530
_cell_length_b 3.741
_cell_length_c 6.187
_cell_angle_alpha 90.00
_cell_angle_beta 109.76
_cell_angle_gamma 90.00
_space_group_name_H-M_alt 'C 1 2/m 1'
_space_group_IT_number 12
loop_
_space_group_symop_operation_xyz
'x,y,z'
'-x,-y,-z'
'-x,y,-z'
'x,-y,z'
'x+1/2,y+1/2,z'
'-x+1/2,-y+1/2,-z'
'-x+1/2,y+1/2,-z'
'x+1/2,-y+1/2,z'
loop_
_atom_site_label
_atom_site_fract_x
_atom_site_fract_y
_atom_site_fract_z
Er1 0.000 0.000 0.000
Mg1 0.000 0.000 0.500
Pd1 0.161 0.500 0.343
Pd2 0.167 0.500 0.818
```

=====

Entry from the Alexandria database: ErMg2Pd8 after structural relaxation (PBE-GGA).

Values from the calculation:
Formation energy from the elements   -0.623 eV per atom

```
data_ErMg2Pd8
_cell_length_a 14.356
_cell_length_b 4.113
_cell_length_c 6.376
_cell_angle_alpha 90.00
_cell_angle_beta 106.44
_cell_angle_gamma 90.00
_space_group_name_H-M_alt 'C 1 2/m 1'
_space_group_IT_number 12
loop_
_space_group_symop_operation_xyz
'x,y,z'
'-x,-y,-z'
'-x,y,-z'
'x,-y,z'
'x+1/2,y+1/2,z'
'-x+1/2,-y+1/2,-z'
'-x+1/2,y+1/2,-z'
'x+1/2,-y+1/2,z'
loop_
_atom_site_label
_atom_site_fract_x
_atom_site_fract_y
_atom_site_fract_z
Er1 0.000 0.000 0.000
Mg1 0.223 0.500 0.654
Pd1 0.042 0.500 0.722
Pd2 0.096 0.000 0.466
Pd3 0.143 0.500 0.195
Pd4 0.182 0.000 0.916
```

=====

Entry from the Alexandria database: ErMg9Pd2 after structural relaxation (PBE-GGA).

Values from the calculation:
Formation energy from the elements   -0.250 eV per atom

```
data_ErMg9Pd2
_cell_length_a 11.663
_cell_length_b 11.663
_cell_length_c 7.517
_cell_angle_alpha 90.00
_cell_angle_beta 90.00
_cell_angle_gamma 90.00
_space_group_name_H-M_alt 'I 41/a m d'
_space_group_IT_number 141
loop_
_space_group_symop_operation_xyz
'x,y,z'
'-x,-y,-z'
'-y+1/4,x+3/4,z+1/4'
'y+1/4,-x+3/4,-z+1/4'
'-x+1/2,-y,z+1/2'
'x+1/2,y,-z+1/2'
'y+1/4,-x+1/4,z+3/4'
'-y+1/4,x+1/4,-z+3/4'
'x,-y,-z'
'-x,y,z'
'-y+1/4,-x+1/4,-z+3/4'
'y+1/4,x+1/4,z+3/4'
'-x+1/2,y,-z+1/2'
'x+1/2,-y,z+1/2'
'y+1/4,x+3/4,-z+1/4'
'-y+1/4,-x+3/4,z+1/4'
'x+1/2,y+1/2,z+1/2'
'-x+1/2,-y+1/2,-z+1/2'
'-y+3/4,x+1/4,z+3/4'
'y+3/4,-x+1/4,-z+3/4'
'-x,-y+1/2,z'
'x,y+1/2,-z'
'y+3/4,-x+3/4,z+1/4'
'-y+3/4,x+3/4,-z+1/4'
'x+1/2,-y+1/2,-z+1/2'
'-x+1/2,y+1/2,z+1/2'
'-y+3/4,-x+3/4,-z+1/4'
'y+3/4,x+3/4,z+1/4'
'-x,y+1/2,-z'
'x,-y+1/2,z'
'y+3/4,x+1/4,-z+3/4'
'-y+3/4,-x+1/4,z+3/4'
loop_
_atom_site_label
_atom_site_fract_x
_atom_site_fract_y
_atom_site_fract_z
Er1 0.000 0.250 0.375
Mg1 0.000 0.250 0.875
Mg2 0.122 0.054 0.685
Pd1 0.000 0.000 0.000
```

=====

Entry from the Alexandria database: Er5MgPd4 after structural relaxation (PBE-GGA).

Values from the calculation:
Formation energy from the elements   -0.745 eV per atom

```
data_Er5MgPd4
_cell_length_a 3.501
_cell_length_b 3.501
_cell_length_c 18.196
_cell_angle_alpha 90.00
_cell_angle_beta 90.00
_cell_angle_gamma 90.00
_space_group_name_H-M_alt 'P 4/m m m'
_space_group_IT_number 123
_space_group_name_Hall '-P 4 2'
loop_
_atom_site_label
_atom_site_fract_x
_atom_site_fract_y
_atom_site_fract_z
Er1 0.000 0.000 0.000
Er2 0.000 0.000 0.190
Er3 0.000 0.000 0.377
Mg1 0.500 0.500 0.500
Pd1 0.500 0.500 0.096
Pd2 0.500 0.500 0.289
```

=====

Entry from the Alexandria database: ErMg3Pd12 after structural relaxation (PBE-GGA).

Values from the calculation:
Formation energy from the elements   -0.573 eV per atom

```
data_ErMg3Pd12
_cell_length_a 4.019
_cell_length_b 4.019
_cell_length_c 15.914
_cell_angle_alpha 90.00
_cell_angle_beta 90.00
_cell_angle_gamma 90.00
_space_group_name_H-M_alt 'P 4/m m m'
_space_group_IT_number 123
_space_group_name_Hall '-P 4 2'
loop_
_atom_site_label
_atom_site_fract_x
_atom_site_fract_y
_atom_site_fract_z
Er1 0.000 0.000 0.000
Mg1 0.000 0.000 0.255
Mg2 0.000 0.000 0.500
Pd1 0.000 0.500 0.132
Pd2 0.000 0.500 0.378
Pd3 0.500 0.500 0.000
Pd4 0.500 0.500 0.255
Pd5 0.500 0.500 0.500
```

=====

Entry from the Alexandria database: Er3Mg5Pd2 after structural relaxation (PBE-GGA).

Values from the calculation:
Formation energy from the elements   -0.274 eV per atom

```
data_Er3Mg5Pd2
_cell_length_a 12.020
_cell_length_b 12.863
_cell_length_c 6.192
_cell_angle_alpha 90.00
_cell_angle_beta 90.00
_cell_angle_gamma 90.00
_space_group_name_H-M_alt 'I b a m'
_space_group_IT_number 72
_space_group_name_Hall '-I 2 2c'
loop_
_atom_site_label
_atom_site_fract_x
_atom_site_fract_y
_atom_site_fract_z
Er1 0.000 0.000 0.250
Er2 0.236 0.166 0.000
Mg1 0.000 0.272 0.250
Mg2 0.000 0.500 0.250
Mg3 0.182 0.421 0.000
Pd1 0.122 0.149 0.500
```

=====

Entry from the Alexandria database: Er4MgPd15 after structural relaxation (PBE-GGA).

Values from the calculation:
Formation energy from the elements   -0.814 eV per atom

```
data_Er4MgPd15
_cell_length_a 4.074
_cell_length_b 4.074
_cell_length_c 20.395
_cell_angle_alpha 90.00
_cell_angle_beta 90.00
_cell_angle_gamma 90.00
_space_group_name_H-M_alt 'P 4/m m m'
_space_group_IT_number 123
_space_group_name_Hall '-P 4 2'
loop_
_atom_site_label
_atom_site_fract_x
_atom_site_fract_y
_atom_site_fract_z
Er1 0.000 0.000 0.101
Er2 0.000 0.000 0.305
Mg1 0.000 0.000 0.500
Pd1 0.000 0.500 0.000
Pd2 0.000 0.500 0.203
Pd3 0.000 0.500 0.406
Pd4 0.500 0.500 0.102
Pd5 0.500 0.500 0.304
Pd6 0.500 0.500 0.500
```

=====

Entry from the Alexandria database: Er2Mg3Pd4 after structural relaxation (PBE-GGA).

Values from the calculation:
Formation energy from the elements   -0.706 eV per atom
Energy relative to the lowest polymorph listed for this composition   0.0081 eV/atom

```
data_Er2Mg3Pd4
_cell_length_a 5.782
_cell_length_b 16.411
_cell_length_c 7.389
_cell_angle_alpha 90.00
_cell_angle_beta 90.00
_cell_angle_gamma 90.00
_space_group_name_H-M_alt 'C m c e'
_space_group_IT_number 64
_space_group_name_Hall '-C 2ac 2'
loop_
_atom_site_label
_atom_site_fract_x
_atom_site_fract_y
_atom_site_fract_z
Er1 0.000 0.102 0.090
Mg1 0.000 0.000 0.500
Mg2 0.250 0.229 0.750
Pd1 0.000 0.166 0.463
Pd2 0.250 0.065 0.750
```

=====

Entry from the Alexandria database: Er3MgPd after structural relaxation (PBE-GGA).

Values from the calculation:
Formation energy from the elements   -0.326 eV per atom

```
data_Er3MgPd
_cell_length_a 6.525
_cell_length_b 4.937
_cell_length_c 8.099
_cell_angle_alpha 90.00
_cell_angle_beta 90.10
_cell_angle_gamma 90.00
_space_group_name_H-M_alt 'P 1 21/m 1'
_space_group_IT_number 11
loop_
_space_group_symop_operation_xyz
'x,y,z'
'-x,-y,-z'
'-x,y+1/2,-z'
'x,-y+1/2,z'
loop_
_atom_site_label
_atom_site_fract_x
_atom_site_fract_y
_atom_site_fract_z
Er1 0.204 0.250 0.047
Er2 0.204 0.250 0.452
Er3 0.272 0.750 0.750
Mg1 0.417 0.750 0.250
Pd1 0.004 0.750 0.250
```

=====

Entry from the Alexandria database: Er3Mg2Pd3 after structural relaxation (PBE-GGA).

Values from the calculation:
Formation energy from the elements   -0.674 eV per atom
Energy relative to the lowest polymorph listed for this composition   0.0734 eV/atom

```
data_Er3Mg2Pd3
_cell_length_a 3.405
_cell_length_b 4.962
_cell_length_c 20.396
_cell_angle_alpha 90.00
_cell_angle_beta 90.00
_cell_angle_gamma 90.00
_space_group_name_H-M_alt 'I m m m'
_space_group_IT_number 71
_space_group_name_Hall '-I 2 2'
loop_
_atom_site_label
_atom_site_fract_x
_atom_site_fract_y
_atom_site_fract_z
Er1 0.000 0.000 0.000
Er2 0.000 0.500 0.119
Mg1 0.000 0.000 0.230
Pd1 0.000 0.000 0.500
Pd2 0.000 0.500 0.380
```

=====

Entry from the Alexandria database: ErMgPd4 after structural relaxation (PBE-GGA).

Values from the calculation:
Formation energy from the elements   -0.480 eV per atom

```
data_ErMgPd4
_cell_length_a 3.926
_cell_length_b 3.926
_cell_length_c 7.771
_cell_angle_alpha 90.00
_cell_angle_beta 90.00
_cell_angle_gamma 90.00
_space_group_name_H-M_alt 'P 4/m m m'
_space_group_IT_number 123
_space_group_name_Hall '-P 4 2'
loop_
_atom_site_label
_atom_site_fract_x
_atom_site_fract_y
_atom_site_fract_z
Er1 0.000 0.000 0.000
Mg1 0.500 0.500 0.500
Pd1 0.000 0.500 0.262
```

=====

Entry from the Alexandria database: ErMg5Pd6 after structural relaxation (PBE-GGA).

Values from the calculation:
Formation energy from the elements   -0.762 eV per atom

```
data_ErMg5Pd6
_cell_length_a 4.572
_cell_length_b 6.550
_cell_length_c 7.110
_cell_angle_alpha 90.00
_cell_angle_beta 106.08
_cell_angle_gamma 90.00
_space_group_name_H-M_alt 'P 1 2/m 1'
_space_group_IT_number 10
loop_
_space_group_symop_operation_xyz
'x,y,z'
'-x,-y,-z'
'-x,y,-z'
'x,-y,z'
loop_
_atom_site_label
_atom_site_fract_x
_atom_site_fract_y
_atom_site_fract_z
Er1 0.000 0.000 0.000
Mg1 0.000 0.500 0.000
Mg2 0.331 0.000 0.657
Mg3 0.336 0.500 0.670
Pd1 0.168 0.258 0.338
Pd2 0.500 0.259 0.000
```

=====

Entry from the Alexandria database: Er2Mg3Pd4 after structural relaxation (PBE-GGA).

Values from the calculation:
Formation energy from the elements   -0.714 eV per atom
Energy relative to the lowest polymorph listed for this composition   0.0000 eV/atom

```
data_Er2Mg3Pd4
_cell_length_a 8.135
_cell_length_b 4.702
_cell_length_c 9.049
_cell_angle_alpha 90.00
_cell_angle_beta 90.12
_cell_angle_gamma 90.00
_space_group_name_H-M_alt 'C 1 2/m 1'
_space_group_IT_number 12
loop_
_space_group_symop_operation_xyz
'x,y,z'
'-x,-y,-z'
'-x,y,-z'
'x,-y,z'
'x+1/2,y+1/2,z'
'-x+1/2,-y+1/2,-z'
'-x+1/2,y+1/2,-z'
'x+1/2,-y+1/2,z'
loop_
_atom_site_label
_atom_site_fract_x
_atom_site_fract_y
_atom_site_fract_z
Er1 0.166 0.000 0.288
Mg1 0.000 0.500 0.500
Mg2 0.167 0.000 0.920
Pd1 0.001 0.500 0.845
Pd2 0.168 0.000 0.606
```

=====

Entry from the Alexandria database: ErMg5Pd2 after structural relaxation (PBE-GGA).

Values from the calculation:
Formation energy from the elements   -0.433 eV per atom

```
data_ErMg5Pd2
_cell_length_a 4.042
_cell_length_b 8.404
_cell_length_c 9.966
_cell_angle_alpha 90.00
_cell_angle_beta 90.00
_cell_angle_gamma 90.00
_space_group_name_H-M_alt 'I m m m'
_space_group_IT_number 71
_space_group_name_Hall '-I 2 2'
loop_
_atom_site_label
_atom_site_fract_x
_atom_site_fract_y
_atom_site_fract_z
Er1 0.000 0.000 0.000
Mg1 0.000 0.186 0.342
Mg2 0.000 0.500 0.000
Pd1 0.000 0.500 0.277
```

=====

Entry from the Alexandria database: Er2MgPd6 after structural relaxation (PBE-GGA).

Values from the calculation:
Formation energy from the elements   -0.551 eV per atom

```
data_Er2MgPd6
_cell_length_a 14.022
_cell_length_b 7.787
_cell_length_c 3.241
_cell_angle_alpha 90.00
_cell_angle_beta 102.68
_cell_angle_gamma 90.00
_space_group_name_H-M_alt 'C 1 2/m 1'
_space_group_IT_number 12
loop_
_space_group_symop_operation_xyz
'x,y,z'
'-x,-y,-z'
'-x,y,-z'
'x,-y,z'
'x+1/2,y+1/2,z'
'-x+1/2,-y+1/2,-z'
'-x+1/2,y+1/2,-z'
'x+1/2,-y+1/2,z'
loop_
_atom_site_label
_atom_site_fract_x
_atom_site_fract_y
_atom_site_fract_z
Er1 0.159 0.000 0.153
Mg1 0.000 0.500 0.500
Pd1 0.000 0.228 0.000
Pd2 0.166 0.297 0.663
```

=====

Entry from the Alexandria database: ErMg2Pd2 after structural relaxation (PBE-GGA).

Values from the calculation:
Formation energy from the elements   -0.636 eV per atom
Energy relative to the lowest polymorph listed for this composition   0.0114 eV/atom

```
data_ErMg2Pd2
_cell_length_a 4.7265
_cell_length_b 4.7265
_cell_length_c 5.4771
_cell_angle_alpha 90.00
_cell_angle_beta 90.00
_cell_angle_gamma 120.00
_space_group_name_H-M_alt 'P -3 m 1'
_space_group_IT_number 164
_space_group_name_Hall '-P 3 2"'
loop_
_atom_site_label
_atom_site_fract_x
_atom_site_fract_y
_atom_site_fract_z
Er1 0.0000 0.0000 0.0000
Mg1 0.3333 0.6667 0.3597
Pd1 0.3333 0.6667 0.8501
```

=====

Entry from the Alexandria database: Er3Mg2Pd4 after structural relaxation (PBE-GGA).

Values from the calculation:
Formation energy from the elements   -0.756 eV per atom

```
data_Er3Mg2Pd4
_cell_length_a 9.811
_cell_length_b 4.293
_cell_length_c 9.009
_cell_angle_alpha 90.00
_cell_angle_beta 93.06
_cell_angle_gamma 90.00
_space_group_name_H-M_alt 'C 1 2/m 1'
_space_group_IT_number 12
loop_
_space_group_symop_operation_xyz
'x,y,z'
'-x,-y,-z'
'-x,y,-z'
'x,-y,z'
'x+1/2,y+1/2,z'
'-x+1/2,-y+1/2,-z'
'-x+1/2,y+1/2,-z'
'x+1/2,-y+1/2,z'
loop_
_atom_site_label
_atom_site_fract_x
_atom_site_fract_y
_atom_site_fract_z
Er1 0.000 0.000 0.000
Er2 0.129 0.500 0.389
Mg1 0.172 0.500 0.789
Pd1 0.083 0.000 0.629
Pd2 0.203 0.500 0.091
```

=====

Entry from the Alexandria database: Er3Mg2Pd3 after structural relaxation (PBE-GGA).

Values from the calculation:
Formation energy from the elements   -0.748 eV per atom
Energy relative to the lowest polymorph listed for this composition   0.0000 eV/atom

```
data_Er3Mg2Pd3
_cell_length_a 8.2967
_cell_length_b 8.2967
_cell_length_c 5.7352
_cell_angle_alpha 90.00
_cell_angle_beta 90.00
_cell_angle_gamma 120.00
_space_group_name_H-M_alt 'P 63/m c m'
_space_group_IT_number 193
_space_group_name_Hall '-P 6c 2'
loop_
_atom_site_label
_atom_site_fract_x
_atom_site_fract_y
_atom_site_fract_z
Er1 0.0000 0.2595 0.2500
Mg1 0.3333 0.6667 0.0000
Pd1 0.0000 0.3962 0.7500
```

=====

Entry from the Alexandria database: ErMg6Pd12 after structural relaxation (PBE-GGA).

Values from the calculation:
Formation energy from the elements   -0.380 eV per atom

```
data_ErMg6Pd12
_cell_length_a 11.0842
_cell_length_b 11.0842
_cell_length_c 9.4696
_cell_angle_alpha 90.00
_cell_angle_beta 90.00
_cell_angle_gamma 120.00
_space_group_name_H-M_alt 'R -3'
_space_group_IT_number 148
_space_group_name_Hall '-R 3'
loop_
_atom_site_label
_atom_site_fract_x
_atom_site_fract_y
_atom_site_fract_z
Er1 0.0000 0.0000 0.0000
Mg1 0.0930 0.9051 0.7299
Pd1 0.0006 0.7443 0.9999
Pd2 0.0623 0.5318 0.1225
```

=====

Entry from the Alexandria database: Er4MgPd3 after structural relaxation (PBE-GGA).

Values from the calculation:
Formation energy from the elements   -0.676 eV per atom

```
data_Er4MgPd3
_cell_length_a 4.992
_cell_length_b 4.992
_cell_length_c 7.090
_cell_angle_alpha 90.00
_cell_angle_beta 90.00
_cell_angle_gamma 90.00
_space_group_name_H-M_alt 'P 4/m m m'
_space_group_IT_number 123
_space_group_name_Hall '-P 4 2'
loop_
_atom_site_label
_atom_site_fract_x
_atom_site_fract_y
_atom_site_fract_z
Er1 0.000 0.500 0.238
Mg1 0.000 0.000 0.500
Pd1 0.000 0.000 0.000
Pd2 0.500 0.500 0.000
Pd3 0.500 0.500 0.500
```

=====

For the records above, the corresponding energy values read -5.1763 -5.1043 -2.6912 -5.2627 -5.0514 -3.4787 -5.7005 -4.5596 -4.4214 -4.7313 -4.9682 -4.4033 -4.5678 -3.2982 -5.2040 -4.2633 -4.9394 -4.8047 -4.4037 -5.1044 eV per atom.